Arrangement A

The following is a DFT calculation (GGA-PBE) of crystalline Rb3TlF4 at its relaxed geometry.

- ρ: 3.98 g/cm³
- DOS at the Fermi energy: 0.00 states/eV per cell
- Spin magnetization: 0.000 μB/f.u.
- Calculated volume: 28.0 Å³/atom

a b c (Å): 9.887 7.880 5.749
angles (deg): 90.00 90.00 90.00
Sites, in units of the cell vectors:
Rb (0.000, 0.165, 0.000)
Rb (0.248, 0.323, 0.499)
Rb (0.252, 0.677, 0.999)
Rb (0.500, 0.835, 0.500)
Rb (0.748, 0.677, 0.999)
Rb (0.752, 0.323, 0.499)
Tl (0.000, 0.817, 0.503)
Tl (0.500, 0.183, 0.003)
F (0.000, 0.151, 0.499)
F (0.000, 0.820, 0.068)
F (0.247, 0.327, 0.997)
F (0.253, 0.673, 0.497)
F (0.500, 0.180, 0.568)
F (0.500, 0.849, 0.999)
F (0.747, 0.673, 0.497)
F (0.753, 0.327, 0.997)

---

Arrangement B

The following is a DFT calculation (GGA-PBE) of crystalline Rb3TlF4 at its relaxed geometry.

- ρ: 4.76 g/cm³
- DOS at the Fermi energy: 0.00 states/eV per cell
- Spin magnetization: 0.000 μB/f.u.
- Calculated volume: 23.4 Å³/atom

a b c (Å): 7.003 7.003 7.003
angles (deg): 131.79 131.79 70.56
Sites, in units of the cell vectors:
Rb (0.000, 0.000, 0.000)
Rb (0.250, 0.750, 0.500)
Rb (0.750, 0.250, 0.500)
Tl (0.500, 0.500, 0.000)
F (0.000, 0.500, 0.500)
F (0.253, 0.253, 0.000)
F (0.500, 0.000, 0.500)
F (0.747, 0.747, 0.000)

---

Stability check: which of them is least stable? arrangement A.

---

Arrangement A

The following is a DFT calculation (GGA-PBE) of crystalline RbUF4 at its relaxed geometry.

- ρ: 6.45 g/cm³
- DOS at the Fermi energy: 8.22 states/eV per cell
- Spin magnetization: 3.000 μB/f.u.
- Calculated volume: 17.1 Å³/atom

a b c (Å): 6.584 3.824 16.347
angles (deg): 90.00 90.00 90.00
Sites, in units of the cell vectors:
Rb (0.222, 0.250, 0.198)
Rb (0.278, 0.750, 0.698)
Rb (0.722, 0.250, 0.302)
Rb (0.778, 0.750, 0.802)
U (0.247, 0.750, 0.441)
U (0.253, 0.250, 0.941)
U (0.747, 0.750, 0.059)
U (0.753, 0.250, 0.559)
F (0.006, 0.750, 0.944)
F (0.101, 0.250, 0.812)
F (0.107, 0.250, 0.368)
F (0.133, 0.250, 0.537)
F (0.367, 0.750, 0.037)
F (0.393, 0.750, 0.868)
F (0.399, 0.750, 0.312)
F (0.494, 0.250, 0.444)
F (0.506, 0.750, 0.556)
F (0.601, 0.250, 0.688)
F (0.607, 0.250, 0.132)
F (0.633, 0.250, 0.963)
F (0.867, 0.750, 0.463)
F (0.893, 0.750, 0.632)
F (0.899, 0.750, 0.188)
F (0.994, 0.250, 0.056)

---

Arrangement B

The following is a DFT calculation (GGA-PBE) of crystalline RbUF4 at its relaxed geometry.

- ρ: 5.94 g/cm³
- DOS at the Fermi energy: 11.60 states/eV per cell
- Spin magnetization: 3.000 μB/f.u.
- Calculated volume: 18.6 Å³/atom

a b c (Å): 5.317 5.795 8.048
angles (deg): 109.96 105.17 90.82
Sites, in units of the cell vectors:
Rb (0.250, 0.250, 0.000)
Rb (0.750, 0.750, 0.000)
U (0.000, 0.500, 0.500)
U (0.500, 0.000, 0.500)
F (0.165, 0.199, 0.624)
F (0.207, 0.732, 0.792)
F (0.297, 0.769, 0.207)
F (0.334, 0.302, 0.377)
F (0.666, 0.698, 0.623)
F (0.703, 0.231, 0.793)
F (0.793, 0.268, 0.208)
F (0.835, 0.801, 0.376)

---

Stability check: which of them is least stable? arrangement B.

---

Arrangement A

The following is a DFT calculation (GGA-PBE) of crystalline Rb2UF8 at its relaxed geometry.

- ρ: 5.05 g/cm³
- DOS at the Fermi energy: 10.43 states/eV per cell
- Spin magnetization: 0.093 μB/f.u.
- Calculated volume: 16.8 Å³/atom

a b c (Å): 8.422 8.422 5.858
angles (deg): 110.27 110.27 28.38
Sites, in units of the cell vectors:
Rb (0.191, 0.191, 0.191)
Rb (0.809, 0.809, 0.809)
U (0.500, 0.500, 0.500)
F (0.000, 0.000, 0.301)
F (0.000, 0.000, 0.699)
F (0.193, 0.193, 0.694)
F (0.402, 0.402, 0.168)
F (0.402, 0.402, 0.636)
F (0.598, 0.598, 0.364)
F (0.598, 0.598, 0.832)
F (0.807, 0.807, 0.306)

---

Arrangement B

The following is a DFT calculation (GGA-PBE) of crystalline Rb2UF8 at its relaxed geometry.

- ρ: 4.30 g/cm³
- DOS at the Fermi energy: 0.00 states/eV per cell
- Spin magnetization: 0.121 μB/f.u.
- Calculated volume: 19.7 Å³/atom

a b c (Å): 7.513 7.513 7.513
angles (deg): 130.59 67.66 136.84
Sites, in units of the cell vectors:
Rb (0.173, 0.000, 0.173)
Rb (0.827, 0.000, 0.827)
U (0.585, 0.085, 0.500)
F (0.276, 0.082, 0.600)
F (0.276, 0.676, 0.194)
F (0.483, 0.082, 0.806)
F (0.483, 0.676, 0.400)
F (0.651, 0.298, 0.354)
F (0.810, 0.036, 0.226)
F (0.810, 0.585, 0.774)
F (0.944, 0.298, 0.646)

---

Stability check: which of them is least stable? arrangement A.